No. 1
Entry from the Alexandria database: an optimized crystal structure of LaBe2Cr (PBE). Values from VASP.

Results
The distance to the lowest polymorph of the same formula comes out at 29.9 kJ per mole of atoms. The calculated formation energy is 509 meV/atom.

```
&SYSTEM
  ibrav = 0, nat = 4, ntyp = 3
/
ATOMIC_SPECIES
Cr 52.00 Cr.upf
Be 9.01 Be.upf
La 138.91 La.upf
CELL_PARAMETERS angstrom
-3.562 3.197 0.160
-3.396 -3.265 -0.864
3.148 0.449 3.581
ATOMIC_POSITIONS crystal
Cr 0.437 0.437 0.000
Be 0.086 0.086 0.000
Be 0.216 0.716 0.500
La 0.761 0.261 0.500
```

No. 2
Entry from the Alexandria database: an optimized crystal structure of Ca3Zn2Cu4 (PBE). Values from VASP.

Results
The distance to the lowest polymorph of the same formula comes out at 0.0 kJ per mole of atoms. The calculated formation energy is -201 meV/atom.

```
&SYSTEM
  ibrav = 0, nat = 9, ntyp = 3
/
ATOMIC_SPECIES
Ca 40.08 Ca.upf
Zn 65.41 Zn.upf
Cu 63.55 Cu.upf
CELL_PARAMETERS angstrom
4.262 0.000 0.000
-2.131 5.214 -0.077
0.000 -1.499 8.244
ATOMIC_POSITIONS crystal
Ca 0.377 0.754 0.620
Ca 0.000 0.000 0.000
Ca 0.623 0.246 0.380
Zn 0.317 0.634 0.225
Zn 0.683 0.366 0.775
Cu 0.742 0.483 0.082
Cu 0.086 0.172 0.635
Cu 0.914 0.828 0.365
Cu 0.258 0.517 0.918
```

No. 3
Entry from the Alexandria database: an optimized crystal structure of Si2Hg2Pd (PBE). Values from VASP.

Results
Its formation energy from raw total energies is 0.055 eV/atom.

```
&SYSTEM
  ibrav = 0, nat = 10, ntyp = 3
/
ATOMIC_SPECIES
Si 28.09 Si.upf
Hg 200.59 Hg.upf
Pd 106.42 Pd.upf
CELL_PARAMETERS angstrom
6.279 0.000 0.000
0.000 6.279 0.000
0.000 0.000 5.204
ATOMIC_POSITIONS crystal
Si 0.364 0.864 0.000
Si 0.864 0.636 0.000
Si 0.636 0.136 0.000
Si 0.136 0.364 0.000
Hg 0.309 0.809 0.500
Hg 0.809 0.691 0.500
Hg 0.691 0.191 0.500
Hg 0.191 0.309 0.500
Pd 0.000 0.000 0.000
Pd 0.500 0.500 0.000
```

No. 4
Entry from the Alexandria database: an optimized crystal structure of NpHN2 (PBE). Values from VASP.

```
&SYSTEM
  ibrav = 0, nat = 4, ntyp = 3
/
ATOMIC_SPECIES
Np 237.00 Np.upf
H 1.01 H.upf
N 14.01 N.upf
CELL_PARAMETERS angstrom
3.529 0.000 0.000
1.764 3.056 0.000
1.764 1.019 4.558
ATOMIC_POSITIONS crystal
Np 0.500 0.500 0.500
H 0.000 0.000 0.000
N 0.096 0.096 0.713
N 0.904 0.904 0.287
```

| no. | total moment (μB/f.u.) | volume (Å³/cell) | calculated total energy (eV/atom) |
| --- | --- | --- | --- |
| 1 | 3.39 | 71.8 | -4.99 |
| 2 | 0.00 | 182.7 | -2.97 |
| 3 | 0.00 | 205.2 | -3.27 |
| 4 | 2.00 | 49.2 | -8.81 |